Record 1
# Ti2BN, relaxed, DFT PBEsol
# Spin magnetization (μB per cell): 0.0
# DOS(E_F) (states/eV/atom): 0.452
# E_form (uncorrected) (eV per formula unit): -2.152
# SG: I-42d
data_Ti2BN
_chemical_formula_sum 'Ti4 B2 N2'
_cell_length_a 4.739
_cell_length_b 4.739
_cell_length_c 5.769
_cell_angle_alpha 114.25
_cell_angle_beta 114.25
_cell_angle_gamma 90.00
_space_group_name_H-M_alt 'P 1'
_space_group_IT_number 1
_space_group_name_Hall 'P 1'
loop_
_atom_site_label
_atom_site_fract_x
_atom_site_fract_y
_atom_site_fract_z
Ti1 0.905 0.375 0.250
Ti2 0.345 0.875 0.250
B1 0.500 0.500 0.000
N1 0.000 0.000 0.000
B2 0.750 0.250 0.500
Ti3 0.625 0.655 0.750
N2 0.250 0.750 0.500
Ti4 0.125 0.095 0.750

---

Record 2
# MgMo2Pb, relaxed, DFT PBEsol
# Spin magnetization (μB per cell): 0.0
# DOS(E_F) (states/eV/atom): 0.803
# Energy relative to the lowest polymorph listed for this composition (eV/atom): 0.0000
# SG: Pmmm
data_MgMo2Pb
_chemical_formula_sum 'Mg1 Mo2 Pb1'
_cell_length_a 3.435
_cell_length_b 4.449
_cell_length_c 4.604
_cell_angle_alpha 90.00
_cell_angle_beta 90.00
_cell_angle_gamma 90.00
_space_group_name_H-M_alt 'P 1'
_space_group_IT_number 1
_space_group_name_Hall 'P 1'
loop_
_atom_site_label
_atom_site_fract_x
_atom_site_fract_y
_atom_site_fract_z
Mo1 0.000 0.000 0.000
Mg1 0.000 0.500 0.500
Pb1 0.500 0.000 0.500
Mo2 0.500 0.500 0.000

---

Record 3
# Ca2MgCl, relaxed, DFT PBEsol
# Spin magnetization (μB per cell): 0.0
# DOS(E_F) (states/eV/atom): 0.824
# E_form (uncorrected) (eV per formula unit): -2.943
# Energy relative to the lowest polymorph listed for this composition (eV/atom): 0.0000
# SG: P4/mmm
data_Ca2MgCl
_chemical_formula_sum 'Ca2 Mg1 Cl1'
_cell_length_a 3.815
_cell_length_b 5.674
_cell_length_c 5.674
_cell_angle_alpha 90.00
_cell_angle_beta 90.00
_cell_angle_gamma 90.00
_space_group_name_H-M_alt 'P 1'
_space_group_IT_number 1
_space_group_name_Hall 'P 1'
loop_
_atom_site_label
_atom_site_fract_x
_atom_site_fract_y
_atom_site_fract_z
Mg1 0.000 0.000 0.000
Cl1 0.500 0.500 0.500
Ca1 0.500 0.000 0.500
Ca2 0.500 0.500 0.000

---

Record 4
# Y3Rh2, relaxed, DFT PBEsol
# Spin magnetization (μB per cell): 0.0
# DOS(E_F) (states/eV/atom): 0.591
# Calculated total energy (eV/atom): -8.01
# SG: P-3m1
data_Y3Rh2
_chemical_formula_sum 'Y3 Rh2'
_cell_length_a 4.722
_cell_length_b 4.722
_cell_length_c 5.899
_cell_angle_alpha 90.00
_cell_angle_beta 90.00
_cell_angle_gamma 120.00
_space_group_name_H-M_alt 'P 1'
_space_group_IT_number 1
_space_group_name_Hall 'P 1'
loop_
_atom_site_label
_atom_site_fract_x
_atom_site_fract_y
_atom_site_fract_z
Y1 0.667 0.333 0.665
Y2 0.000 0.000 0.000
Y3 0.333 0.667 0.335
Rh1 0.333 0.667 0.837
Rh2 0.667 0.333 0.163

---

Record 5
# FeTeO2, relaxed, DFT PBEsol
# Spin magnetization (μB per cell): 3.1
# DOS(E_F) (states/eV/atom): 0.736
# E_form (uncorrected) (eV per formula unit): -0.974
# SG: R-3m
data_FeTeO2
_chemical_formula_sum 'Fe1 Te1 O2'
_cell_length_a 3.019
_cell_length_b 3.019
_cell_length_c 7.172
_cell_angle_alpha 77.85
_cell_angle_beta 77.85
_cell_angle_gamma 60.00
_space_group_name_H-M_alt 'P 1'
_space_group_IT_number 1
_space_group_name_Hall 'P 1'
loop_
_atom_site_label
_atom_site_fract_x
_atom_site_fract_y
_atom_site_fract_z
Fe1 0.000 0.000 0.000
O1 0.084 0.084 0.747
O2 0.916 0.916 0.253
Te1 0.500 0.500 0.500

---

Record 6
# CaRe2Ir, relaxed, DFT PBEsol
# Spin magnetization (μB per cell): 0.0
# DOS(E_F) (states/eV/atom): 0.976
# Energy relative to the lowest polymorph listed for this composition (eV/atom): 0.0000
# SG: Immm
data_CaRe2Ir
_chemical_formula_sum 'Ca1 Re2 Ir1'
_cell_length_a 2.756
_cell_length_b 4.602
_cell_length_c 5.950
_cell_angle_alpha 112.75
_cell_angle_beta 103.39
_cell_angle_gamma 90.00
_space_group_name_H-M_alt 'P 1'
_space_group_IT_number 1
_space_group_name_Hall 'P 1'
loop_
_atom_site_label
_atom_site_fract_x
_atom_site_fract_y
_atom_site_fract_z
Ir1 0.000 0.500 0.000
Ca1 0.500 0.000 0.000
Re1 0.713 0.713 0.427
Re2 0.287 0.287 0.573

---

Record 7
# Zr2ScZn, relaxed, DFT PBEsol
# Spin magnetization (μB per cell): 0.0
# DOS(E_F) (states/eV/atom): 1.384
# Calculated total energy (eV/atom): -6.62
# SG: R3m
data_Zr2ScZn
_chemical_formula_sum 'Zr2 Sc1 Zn1'
_cell_length_a 3.188
_cell_length_b 3.188
_cell_length_c 9.616
_cell_angle_alpha 80.46
_cell_angle_beta 80.46
_cell_angle_gamma 60.00
_space_group_name_H-M_alt 'P 1'
_space_group_IT_number 1
_space_group_name_Hall 'P 1'
loop_
_atom_site_label
_atom_site_fract_x
_atom_site_fract_y
_atom_site_fract_z
Sc1 0.506 0.506 0.482
Zn1 0.250 0.250 0.250
Zr1 0.749 0.749 0.752
Zr2 0.995 0.995 0.016

---

Record 8
# SrZr2Te, relaxed, DFT PBEsol
# Spin magnetization (μB per cell): 0.0
# DOS(E_F) (states/eV/atom): 0.670
# E_form (uncorrected) (eV per formula unit): -1.254
# SG: Amm2
data_SrZr2Te
_chemical_formula_sum 'Sr1 Zr2 Te1'
_cell_length_a 3.834
_cell_length_b 4.472
_cell_length_c 6.884
_cell_angle_alpha 90.00
_cell_angle_beta 106.21
_cell_angle_gamma 90.00
_space_group_name_H-M_alt 'P 1'
_space_group_IT_number 1
_space_group_name_Hall 'P 1'
loop_
_atom_site_label
_atom_site_fract_x
_atom_site_fract_y
_atom_site_fract_z
Te1 0.072 0.500 0.769
Zr1 0.216 0.000 0.057
Sr1 0.469 0.000 0.564
Zr2 0.743 0.500 0.110

---

Record 9
# ZrTaAg, relaxed, DFT PBEsol
# Spin magnetization (μB per cell): 0.0
# DOS(E_F) (states/eV/atom): 0.754
# Calculated total energy (eV/atom): -8.26
# SG: I4mm
data_ZrTaAg
_chemical_formula_sum 'Zr1 Ta1 Ag1'
_cell_length_a 2.883
_cell_length_b 2.883
_cell_length_c 6.972
_cell_angle_alpha 101.93
_cell_angle_beta 101.93
_cell_angle_gamma 90.00
_space_group_name_H-M_alt 'P 1'
_space_group_IT_number 1
_space_group_name_Hall 'P 1'
loop_
_atom_site_label
_atom_site_fract_x
_atom_site_fract_y
_atom_site_fract_z
Ta1 0.665 0.665 0.329
Ag1 0.004 0.004 0.009
Zr1 0.331 0.331 0.662

---

Record 10
# LaTlFeOs2, relaxed, DFT PBEsol
# Spin magnetization (μB per cell): 0.0
# DOS(E_F) (states/eV/atom): 0.817
# Calculated total energy (eV/atom): -7.47
# SG: P4/mmm
data_LaTlFeOs2
_chemical_formula_sum 'La1 Tl1 Fe1 Os2'
_cell_length_a 4.573
_cell_length_b 4.573
_cell_length_c 4.771
_cell_angle_alpha 90.00
_cell_angle_beta 90.00
_cell_angle_gamma 90.00
_space_group_name_H-M_alt 'P 1'
_space_group_IT_number 1
_space_group_name_Hall 'P 1'
loop_
_atom_site_label
_atom_site_fract_x
_atom_site_fract_y
_atom_site_fract_z
Os1 0.500 0.000 0.000
Os2 0.000 0.500 0.000
La1 0.500 0.500 0.500
Tl1 0.000 0.000 0.500
Fe1 0.000 0.000 0.000